1.
Compound: Pm2PrTiN4
Source: the Alexandria database
Functional: PBE
Structure: relaxed

The structure in POSCAR format:
```
Pm2PrTiN4
1.0
1.7481 -6.0323 0.0000
1.7481 6.0323 0.0000
0.0000 0.0000 12.2502
Pm Pr Ti N
4 2 2 8
direct
0.1305 0.8695 0.5396
0.1305 0.8695 0.9604
0.8695 0.1305 0.0396
0.8695 0.1305 0.4604
0.4015 0.5985 0.7500
0.5985 0.4015 0.2500
0.3325 0.6675 0.2500
0.6675 0.3325 0.7500
0.0752 0.9248 0.7500
0.2342 0.7658 0.1302
0.2342 0.7658 0.3698
0.5000 0.5000 0.0000
0.5000 0.5000 0.5000
0.7658 0.2342 0.6302
0.7658 0.2342 0.8698
0.9248 0.0752 0.2500
```

Computed properties:
As for the uncorrected formation energy: -1321 meV/atom.



2.
Compound: TcRh2Se
Source: the Alexandria database
Functional: PBE
Structure: relaxed

The structure in POSCAR format:
```
TcRh2Se
1.0
3.9180 0.0000 0.0000
0.0000 1.4648 5.2126
0.0000 -1.4648 5.2126
Tc Rh Se
1 2 1
direct
0.0000 0.0000 0.0000
0.0000 0.2570 0.2570
0.5000 0.6147 0.6147
0.5000 0.8525 0.8525
```

Computed properties:
As for the uncorrected formation energy: 95 meV/atom.



3.
Compound: Pa3Nb5Te12
Source: the Alexandria database
Functional: PBE
Structure: relaxed

The structure in POSCAR format:
```
Pa3Nb5Te12
1.0
-8.6534 8.6534 8.6534
8.6534 -8.6534 8.6534
8.6534 8.6534 -8.6534
Pa Nb Te
12 20 48
direct
0.1250 0.2500 0.3750
0.1250 0.3750 0.7500
0.2500 0.3750 0.1250
0.2500 0.8750 0.6250
0.3750 0.1250 0.2500
0.3750 0.7500 0.1250
0.6250 0.2500 0.8750
0.6250 0.8750 0.7500
0.7500 0.1250 0.3750
0.7500 0.6250 0.8750
0.8750 0.6250 0.2500
0.8750 0.7500 0.6250
0.0000 0.0000 0.0000
0.0000 0.0000 0.5000
0.0000 0.5000 0.0000
0.0000 0.5000 0.5000
0.1250 0.7500 0.8750
0.1250 0.8750 0.2500
0.2500 0.1250 0.8750
0.2500 0.6250 0.3750
0.3750 0.2500 0.6250
0.3750 0.6250 0.7500
0.5000 0.0000 0.0000
0.5000 0.0000 0.5000
0.5000 0.5000 0.0000
0.5000 0.5000 0.5000
0.6250 0.3750 0.2500
0.6250 0.7500 0.3750
0.7500 0.3750 0.6250
0.7500 0.8750 0.1250
0.8750 0.1250 0.7500
0.8750 0.2500 0.1250
0.0412 0.2162 0.1245
0.0412 0.3250 0.9167
0.0833 0.6245 0.4083
0.0833 0.9588 0.6750
0.0917 0.7162 0.6750
0.0917 0.8755 0.4167
0.1245 0.0412 0.2162
0.1245 0.5833 0.9083
0.1750 0.2162 0.5917
0.1750 0.4588 0.5833
0.2162 0.1245 0.0412
0.2162 0.5917 0.1750
0.2838 0.3250 0.9083
0.2838 0.4588 0.3755
0.3250 0.9083 0.2838
0.3250 0.9167 0.0412
0.3755 0.2838 0.4588
0.3755 0.5917 0.9167
0.4083 0.0833 0.6245
0.4083 0.8250 0.7838
0.4167 0.0917 0.8755
0.4167 0.8250 0.5412
0.4588 0.3755 0.2838
0.4588 0.5833 0.1750
0.5412 0.4167 0.8250
0.5412 0.6245 0.7162
0.5833 0.1750 0.4588
0.5833 0.9083 0.1245
0.5917 0.1750 0.2162
0.5917 0.9167 0.3755
0.6245 0.4083 0.0833
0.6245 0.7162 0.5412
0.6750 0.0833 0.9588
0.6750 0.0917 0.7162
0.7162 0.5412 0.6245
0.7162 0.6750 0.0917
0.7838 0.4083 0.8250
0.7838 0.8755 0.9588
0.8250 0.5412 0.4167
0.8250 0.7838 0.4083
0.8755 0.4167 0.0917
0.8755 0.9588 0.7838
0.9083 0.1245 0.5833
0.9083 0.2838 0.3250
0.9167 0.0412 0.3250
0.9167 0.3755 0.5917
0.9588 0.6750 0.0833
0.9588 0.7838 0.8755
```

Computed properties:
As for the uncorrected formation energy: -171 meV/atom.



4.
Compound: Dy10Ho4Pu
Source: the Alexandria database
Functional: PBE
Structure: relaxed

The structure in POSCAR format:
```
Dy10Ho4Pu
1.0
-4.8240 4.8240 5.2075
4.8240 -4.8240 5.2075
4.8240 4.8240 -5.2075
Dy Ho Pu
10 4 1
direct
0.0457 0.3722 0.0989
0.0532 0.9543 0.3264
0.2500 0.7500 0.5000
0.2732 0.9468 0.9011
0.3722 0.2732 0.3264
0.6278 0.7268 0.6736
0.7268 0.0532 0.0989
0.7500 0.2500 0.5000
0.9468 0.0457 0.6736
0.9543 0.6278 0.9011
0.1713 0.4343 0.6056
0.4343 0.8287 0.2629
0.5657 0.1713 0.7371
0.8287 0.5657 0.3944
0.5000 0.5000 0.0000
```



What electronic total energy values result from the calculations? In sequence: -8.256; -7.044; -5.997; -4.856 eV/atom.